Record 1
Here is a relaxed structure of Tl3OsCl from Alexandria. Energies are from PBE.

Values from the calculation:
energy relative to the lowest polymorph listed for this composition: 0.0 meV per atom
calculated volume: 29.9 Å³ per atom
E: -3.939 eV per atom
N(E_F): 1.90 states/eV/f.u.
raw formation energy: 0.0956 eV per atom

Cell lengths 5.3088, 5.3088, 5.3088 Å; angles 90.00, 90.00, 90.00 degrees
Closest atoms and distances in Å follow each position.
Sites, in units of the cell vectors:
1 Tl 0.0000 0.5000 0.0000  2 Os 2.65
2 Tl 0.0000 0.0000 0.5000  2 Os 2.65
3 Tl 0.5000 0.0000 0.0000  2 Os 2.65
4 Os 0.0000 0.0000 0.0000  6 Tl 2.65
5 Cl 0.5000 0.5000 0.5000  12 Tl 3.75



Record 2
Here is a relaxed structure of CaPrSn4 from Alexandria. Energies are from PBE.

Values from the calculation:
energy relative to the lowest polymorph listed for this composition: 0.0 meV per atom
calculated volume: 29.4 Å³ per atom
E: -4.299 eV per atom
N(E_F): 2.89 states/eV/f.u.

Cell lengths 4.8733, 6.6139, 11.2240 Å; angles 90.00, 102.54, 90.00 degrees
Closest atoms and distances in Å follow each position.
Sites, in units of the cell vectors:
1 Ca 0.7260 0.2500 0.4521  7 Sn 3.21-3.35
2 Ca 0.2740 0.7500 0.5479  7 Sn 3.21-3.35
3 Pr 0.4276 0.2500 0.8552  11 Sn 3.31-3.44
4 Pr 0.5724 0.7500 0.1448  11 Sn 3.31-3.44
5 Sn 0.0000 0.0000 0.0000  8 Sn 3.29-3.42, 4 Pr 3.34
6 Sn 0.0000 0.5000 0.0000  8 Sn 3.29-3.42, 4 Pr 3.34
7 Sn 0.1500 0.0118 0.2999  5 Sn 3.15-3.46, 3 Ca 3.22-3.35, 2 Pr 3.44
8 Sn 0.8500 0.5118 0.7001  5 Sn 3.15-3.46, 3 Ca 3.22-3.35, 2 Pr 3.44
9 Sn 0.1500 0.4882 0.2999  5 Sn 3.15-3.46, 3 Ca 3.22-3.35, 2 Pr 3.44
10 Sn 0.8500 0.9882 0.7001  5 Sn 3.15-3.46, 3 Ca 3.22-3.35, 2 Pr 3.44
11 Sn 0.5797 0.2500 0.1594  1 Ca 3.21, 8 Sn 3.28-3.42, 3 Pr 3.31-3.33
12 Sn 0.4203 0.7500 0.8406  1 Ca 3.21, 8 Sn 3.28-3.42, 3 Pr 3.31-3.33



Record 3
Here is a relaxed structure of BaY2Mo from Alexandria. Energies are from PBE.

Values from the calculation:
energy relative to the lowest polymorph listed for this composition: 176.2 meV per atom
calculated volume: 32.5 Å³ per atom
E: -5.903 eV per atom
N(E_F): 4.45 states/eV/f.u.

Cell lengths 3.9134, 3.9134, 8.5000 Å; angles 90.00, 90.00, 90.00 degrees
Closest atoms and distances in Å follow each position.
Sites, in units of the cell vectors:
1 Ba 0.0000 0.0000 0.5469  1 Y 3.42, 4 Mo 3.64
2 Mo 0.5000 0.5000 0.8258  5 Y 2.96-3.00
3 Y 0.0000 0.0000 0.9487  4 Mo 2.96
4 Y 0.5000 0.5000 0.1785  1 Mo 3.00



Record 4
Here is a relaxed structure of Mn2InNi2 from Alexandria. Energies are from PBE.

Values from the calculation:
calculated volume: 13.8 Å³ per atom
E: -6.197 eV per atom
N(E_F): 5.21 states/eV/f.u.

Cell lengths 3.7948, 3.7948, 5.5000 Å; angles 69.82, 69.82, 90.00 degrees
Closest atoms and distances in Å follow each position.
Sites, in units of the cell vectors:
1 Ni 0.7500 0.2500 0.5000  4 Mn 2.37
2 Ni 0.2500 0.7500 0.5000  4 Mn 2.37
3 Mn 0.3979 0.3979 0.2042  1 Mn 1.96
4 Mn 0.6021 0.6021 0.7958  1 Mn 1.96
5 In 0.0000 0.0000 0.0000  8 Mn 2.86, 8 Ni 3.06



Q: What is the formula in the first record?
A: Tl3OsCl



Q: Which value of calculated volume does entry 1 give?
A: 29.9 Å³ per atom



Q: Which value of N(E_F) does entry 4 give?
A: 5.21 states/eV/f.u.



Q: Which of these has the lowest E?
A: Mn2InNi2